The following is a SCAN calculation of a PBEsol-optimized structure of CoTcHg2, from Alexandria via LeMat-Bulk.

Cell lengths 4.5049, 4.5049, 4.5049 Å; angles 60.00, 60.00, 60.00 degrees
With the nearest neighbours (Å) after each atom.
Positions (direct):
Co 0.5000 0.5000 0.5000  4 Hg 2.76, 4 Tc 2.76
Hg 0.0000 0.0000 0.0000  4 Hg 2.76, 4 Tc 2.76
Hg 0.7500 0.7500 0.7500  4 Co 2.76, 4 Hg 2.76
Tc 0.2500 0.2500 0.2500  4 Hg 2.76, 4 Co 2.76

Output
Calculated formation energy (meV/atom): 689
SG: F-43m (216)